# VOsRu (PBE-GGA, optimized geometry)
# DFT total energy, eV for the cell shown: -29.40
# ΔH_f (0 K), eV/atom: 0.07
data_VOsRu
_chemical_formula_sum 'V1 Os1 Ru1'
_symmetry_space_group_name_H-M 'P -6 m 2'
_symmetry_Int_Tables_number 187
_symmetry_space_group_name_Hall 'P -6 2'
_cell_length_a 4.3118
_cell_length_b 4.3118
_cell_length_c 2.6693
_cell_angle_alpha 90.00
_cell_angle_beta 90.00
_cell_angle_gamma 120.00
loop_
_atom_site_label
_atom_site_type_symbol
_atom_site_fract_x
_atom_site_fract_y
_atom_site_fract_z
V1 V 0.0000 0.0000 0.0000
Os1 Os 0.3333 0.6667 0.5000
Ru1 Ru 0.6667 0.3333 0.5000

=====

# VOsRu3 (PBE-GGA, optimized geometry)
# DFT total energy, eV for the cell shown: -39.48
# ΔH_f (0 K), eV/atom: 1.74
data_VOsRu3
_chemical_formula_sum 'V1 Os1 Ru3'
_symmetry_space_group_name_H-M 'P m -3 m'
_symmetry_Int_Tables_number 221
_symmetry_space_group_name_Hall '-P 4 2 3'
_cell_length_a 4.651
_cell_length_b 4.651
_cell_length_c 4.651
_cell_angle_alpha 90.00
_cell_angle_beta 90.00
_cell_angle_gamma 90.00
loop_
_atom_site_label
_atom_site_type_symbol
_atom_site_fract_x
_atom_site_fract_y
_atom_site_fract_z
V1 V 0.000 0.000 0.000
Os1 Os 0.500 0.500 0.500
Ru1 Ru 0.000 0.500 0.500

=====

# V3OsRu (PBE-GGA, optimized geometry)
# DFT total energy, eV for the cell shown: -41.24
# ΔH_f (0 K), eV/atom: 1.32
data_V3OsRu
_chemical_formula_sum 'V3 Os1 Ru1'
_symmetry_space_group_name_H-M 'P m -3 m'
_symmetry_Int_Tables_number 221
_symmetry_space_group_name_Hall '-P 4 2 3'
_cell_length_a 4.533
_cell_length_b 4.533
_cell_length_c 4.533
_cell_angle_alpha 90.00
_cell_angle_beta 90.00
_cell_angle_gamma 90.00
loop_
_atom_site_label
_atom_site_type_symbol
_atom_site_fract_x
_atom_site_fract_y
_atom_site_fract_z
V1 V 0.000 0.000 0.500
Os1 Os 0.000 0.000 0.000
Ru1 Ru 0.500 0.500 0.500